Below is a relaxed Co2PdO5 crystal, with properties calculated at the PBE+U level.

```
16
Lattice="5.281 -2.343 0.000 5.281 2.343 0.000 -2.885 0.000 6.089" Properties=species:S:1:pos:R:3 pbc="T T T"
Co 0.913 0.033 2.316
Co -0.529 -0.033 5.360
Co 8.208 0.033 0.729
Co 6.765 -0.033 3.774
Pd 5.281 0.000 0.000
Pd 3.839 0.000 3.045
O 0.188 0.866 3.836
O 3.595 0.744 0.430
O 3.118 1.378 4.567
O 1.631 -0.866 0.792
O 5.525 0.744 2.614
O 2.153 -0.744 3.475
O 6.048 0.866 5.298
O 4.560 -1.378 1.522
O 4.083 -0.744 5.659
O 7.490 -0.866 2.253
```

Values from the calculation:
Space group ... No. 15
Total magnetic moment ... 0.0 Bohr magnetons per cell
VASP energy ... -5.534 eV/atom